Entry from the Alexandria database: Tb2ErPt9 after structural relaxation (PBE).

a = 4.120 Å, b = 4.120 Å, c = 12.358 Å
α = 90.00°, β = 90.00°, γ = 90.00°
Element x y z (fractional)
Tb  0.000  0.000  0.167
Tb  0.000  0.000  0.833
Er  0.000  0.000  0.500
Pt  0.000  0.500  0.000
Pt  0.000  0.500  0.335
Pt  0.000  0.500  0.665
Pt  0.500  0.000  0.000
Pt  0.500  0.000  0.335
Pt  0.500  0.000  0.665
Pt  0.500  0.500  0.168
Pt  0.500  0.500  0.500
Pt  0.500  0.500  0.832

Output
Energy of formation from the pure elements (eV per atom): -1.036
Uncorrected energy (eV per atom): -6.72

---

Entry from the Alexandria database: Li5Au3 after structural relaxation (PBE).

a = 10.166 Å, b = 7.666 Å, c = 7.621 Å
α = 83.36°, β = 48.51°, γ = 48.13°
Element x y z (fractional)
Li  0.076  0.275  0.725
Li  0.224  0.577  0.423
Li  0.251  0.749  0.749
Li  0.275  0.076  0.924
Li  0.423  0.776  0.224
Li  0.577  0.224  0.776
Li  0.725  0.924  0.076
Li  0.749  0.251  0.251
Li  0.776  0.423  0.577
Li  0.924  0.725  0.275
Au  0.165  0.835  0.165
Au  0.250  0.250  0.250
Au  0.335  0.335  0.665
Au  0.665  0.665  0.335
Au  0.750  0.750  0.750
Au  0.835  0.165  0.835

Output
Energy of formation from the pure elements (eV per atom): -0.458
Energy relative to the lowest polymorph listed for this composition (meV/atom): 22
Uncorrected energy (eV per atom): -2.88

---

> Look up the uncorrected energy of the second one.

-2.88 eV per atom

---

> What is the energy of formation from the pure elements in the first record?

-1.036 eV per atom